[1]
A geometry-optimized NaSbPt2 structure, computed with GGA-PBE.

CIF file:
```
data_NaSbPt2
_chemical_formula_sum 'Na1 Sb1 Pt2'
_cell_length_a 3.856
_cell_length_b 3.856
_cell_length_c 7.491
_cell_angle_alpha 75.09
_cell_angle_beta 75.09
_cell_angle_gamma 60.00
_space_group_name_H-M_alt 'P 1'
_space_group_IT_number 1
loop_
_space_group_symop_operation_xyz
'x,y,z'
loop_
_atom_site_label
_atom_site_fract_x
_atom_site_fract_y
_atom_site_fract_z
Sb1 0.000 0.000 0.000
Pt1 0.267 0.267 0.200
Pt2 0.733 0.733 0.800
Na1 0.500 0.500 0.500
```

Calculated values
**Final energy**: -4.44 eV/atom
**Crystal system**: trigonal
**V**: 92.1 Å³ per cell
**Total magnetization**: 0.00 μB per cell

[2]
A geometry-optimized BaMo2As structure, computed with GGA-PBE.

CIF file:
```
data_BaMo2As
_chemical_formula_sum 'Ba1 Mo2 As1'
_cell_length_a 3.454
_cell_length_b 3.454
_cell_length_c 7.443
_cell_angle_alpha 90.00
_cell_angle_beta 90.00
_cell_angle_gamma 90.00
_space_group_name_H-M_alt 'P 1'
_space_group_IT_number 1
loop_
_space_group_symop_operation_xyz
'x,y,z'
loop_
_atom_site_label
_atom_site_fract_x
_atom_site_fract_y
_atom_site_fract_z
Mo1 0.000 0.000 0.408
Ba1 0.500 0.500 0.750
As1 0.500 0.500 0.250
Mo2 0.000 0.000 0.092
```

Calculated values
**Final energy**: -6.52 eV/atom
**Crystal system**: tetragonal
**V**: 88.8 Å³ per cell
**Total magnetization**: 0.00 μB per cell